An optimized crystal structure of Rb2MnPtO4. Source: Alexandria via LeMat-Bulk, functional PBE with a Hubbard U.

Output
DFT total energy	-83.8	eV/cell

a b c (Å): 4.945 6.709 10.825
angles (deg): 85.17 76.80 68.37
Fractional coordinates of all 16 atoms:
Rb 0.826 0.000 0.349
Rb 0.174 0.000 0.651
Rb 0.924 0.500 0.151
Rb 0.576 0.500 0.849
O 0.249 0.814 0.101
O 0.936 0.814 0.899
O 0.814 0.686 0.601
O 0.501 0.686 0.399
O 0.164 0.186 0.899
O 0.100 0.314 0.399
O 0.650 0.186 0.101
O 0.586 0.314 0.601
Pt 0.500 0.000 0.000
Pt 0.250 0.500 0.500
Mn 0.750 0.500 0.500
Mn 0.000 0.000 0.000